Material: Cd4HgO5
Method: DFT, GGA-PBE
State: optimized geometry

Computed properties:
Symmetry: C2/m, No. 12
DFT total energy, eV per atom: -3.715
Energy relative to the elements, uncorrected, kcal/mol of atoms: -19.37
Size of the total moment, μB/cell: 0.000

abc: 5.900 5.900 8.349
angles: 118.24 118.24 33.51
Element x y z (fractional)
1 Cd 0.098 0.098 0.399
2 Cd 0.298 0.298 0.202
3 Cd 0.702 0.702 0.798
4 Cd 0.902 0.902 0.601
5 Hg 0.500 0.500 0.000
6 O 0.105 0.105 0.894
7 O 0.298 0.298 0.694
8 O 0.500 0.500 0.500
9 O 0.702 0.702 0.306
10 O 0.895 0.895 0.106

***

Material: PaNbH4
Method: DFT, GGA-PBE
State: optimized geometry

Computed properties:
Symmetry: Fddd, No. 70
Polymorph energy (0 for the lowest one), eV/f.u.: 0.19
DFT total energy, eV per atom: -5.732
Size of the total moment, μB/cell: 0.076

abc: 6.316 6.308 4.674
angles: 68.35 68.18 43.46
Element x y z (fractional)
1 Pa 0.125 0.125 0.125
2 Pa 0.875 0.875 0.875
3 Nb 0.375 0.375 0.375
4 Nb 0.625 0.625 0.625
5 H 0.000 0.499 0.711
6 H 0.000 0.501 0.289
7 H 0.289 0.710 0.000
8 H 0.290 0.711 0.499
9 H 0.499 0.000 0.290
10 H 0.501 0.000 0.710
11 H 0.710 0.289 0.501
12 H 0.711 0.290 0.000

***

Material: PuZnSb2
Method: DFT, GGA-PBE
State: optimized geometry

Computed properties:
Symmetry: R3m, No. 160
Polymorph energy (0 for the lowest one), eV/f.u.: 0.96
DFT total energy, eV per atom: -6.120
Energy relative to the elements, uncorrected, kcal/mol of atoms: -3.62
Size of the total moment, μB/cell: 5.479

abc: 7.043 7.043 7.043
angles: 36.34 36.34 36.34
Element x y z (fractional)
1 Pu 0.000 0.000 0.000
2 Zn 0.831 0.831 0.831
3 Sb 0.423 0.423 0.423
4 Sb 0.578 0.578 0.578

***

Material: Sr12Bi6O
Method: DFT, GGA-PBE
State: optimized geometry

Computed properties:
Symmetry: R-3, No. 148
DFT total energy, eV per atom: -3.420
Energy relative to the elements, uncorrected, kcal/mol of atoms: -20.10
Size of the total moment, μB/cell: 3.389

abc: 9.354 9.354 9.354
angles: 98.89 98.89 98.89
Element x y z (fractional)
1 Sr 0.013 0.702 0.937
2 Sr 0.063 0.987 0.298
3 Sr 0.186 0.431 0.566
4 Sr 0.298 0.063 0.987
5 Sr 0.431 0.566 0.186
6 Sr 0.434 0.814 0.569
7 Sr 0.566 0.186 0.431
8 Sr 0.569 0.434 0.814
9 Sr 0.702 0.937 0.013
10 Sr 0.814 0.569 0.434
11 Sr 0.937 0.013 0.702
12 Sr 0.987 0.298 0.063
13 Bi 0.124 0.638 0.293
14 Bi 0.293 0.124 0.638
15 Bi 0.362 0.707 0.876
16 Bi 0.638 0.293 0.124
17 Bi 0.707 0.876 0.362
18 Bi 0.876 0.362 0.707
19 O 0.000 0.000 0.000

***

Material: La5Nd3Cd
Method: DFT, GGA-PBE
State: optimized geometry

Computed properties:
Symmetry: C2/m, No. 12
DFT total energy, eV per atom: -4.168
ΔE_f, eV per atom: 0.261
Size of the total moment, μB/cell: 0.002

abc: 6.875 6.875 14.613
angles: 90.32 90.32 73.91
Element x y z (fractional)
1 La 0.002 0.002 0.751
2 La 0.017 0.485 0.338
3 La 0.173 0.827 0.000
4 La 0.284 0.284 0.131
5 La 0.485 0.017 0.338
6 La 0.515 0.983 0.662
7 La 0.716 0.716 0.869
8 La 0.827 0.173 0.000
9 La 0.983 0.515 0.662
10 La 0.998 0.998 0.249
11 Nd 0.138 0.138 0.506
12 Nd 0.278 0.278 0.864
13 Nd 0.500 0.500 0.000
14 Nd 0.500 0.500 0.500
15 Nd 0.722 0.722 0.136
16 Nd 0.862 0.862 0.494
17 Cd 0.494 0.494 0.722
18 Cd 0.506 0.506 0.278

***

Material: SmErPtPb
Method: DFT, GGA-PBE
State: optimized geometry

Computed properties:
Symmetry: F-43m, No. 216
DFT total energy, eV per atom: -5.474
ΔE_f, eV per atom: -0.716
Size of the total moment, μB/cell: 0.000

abc: 5.221 5.221 5.221
angles: 60.00 60.00 60.00
Element x y z (fractional)
1 Sm 0.000 0.000 0.000
2 Er 0.500 0.500 0.500
3 Pt 0.250 0.250 0.250
4 Pb 0.750 0.750 0.750

***

Material: LaPmBr
Method: DFT, GGA-PBE
State: optimized geometry

Computed properties:
Symmetry: C2/m, No. 12
Polymorph energy (0 for the lowest one), eV/f.u.: 0.00
DFT total energy, eV per atom: -4.540
Energy relative to the elements, uncorrected, kcal/mol of atoms: -17.43
Size of the total moment, μB/cell: 0.000

abc: 3.790 3.790 14.208
angles: 90.05 90.05 89.94
Element x y z (fractional)
1 La 0.250 0.250 0.085
2 La 0.750 0.750 0.915
3 Pm 0.249 0.249 0.731
4 Pm 0.751 0.751 0.269
5 Br 0.251 0.251 0.378
6 Br 0.749 0.749 0.622

***

Material: Pm2Pr5Pd4
Method: DFT, GGA-PBE
State: optimized geometry

Computed properties:
Symmetry: C2/m, No. 12
DFT total energy, eV per atom: -5.312
ΔE_f, eV per atom: -0.387
Size of the total moment, μB/cell: 0.000

abc: 12.599 12.599 7.142
angles: 103.20 103.20 17.31
Element x y z (fractional)
1 Pm 0.230 0.230 0.213
2 Pm 0.770 0.770 0.787
3 Pr 0.000 0.000 0.500
4 Pr 0.367 0.367 0.532
5 Pr 0.400 0.400 0.059
6 Pr 0.600 0.600 0.941
7 Pr 0.633 0.633 0.468
8 Pd 0.177 0.177 0.793
9 Pd 0.478 0.478 0.795
10 Pd 0.522 0.522 0.205
11 Pd 0.823 0.823 0.207

***

Material: As2Pb4I
Method: DFT, GGA-PBE
State: optimized geometry

Computed properties:
Symmetry: P1, No. 1
DFT total energy, eV per atom: -3.728
Energy relative to the elements, uncorrected, kcal/mol of atoms: -1.36
Size of the total moment, μB/cell: 0.001

abc: 8.704 8.724 8.731
angles: 108.81 108.74 110.78
Element x y z (fractional)
1 As 0.000 0.000 0.000
2 As 0.000 0.498 0.998
3 As 0.002 0.998 0.500
4 As 0.501 0.997 0.498
5 Pb 0.140 0.720 0.415
6 Pb 0.196 0.276 0.916
7 Pb 0.277 0.859 0.081
8 Pb 0.279 0.193 0.416
9 Pb 0.721 0.138 0.914
10 Pb 0.724 0.804 0.583
11 Pb 0.806 0.722 0.083
12 Pb 0.862 0.276 0.581
13 I 0.375 0.623 0.748
14 I 0.626 0.374 0.250

***

Material: La2Pr4SmDy2
Method: DFT, GGA-PBE
State: optimized geometry

Computed properties:
Symmetry: C2/m, No. 12
DFT total energy, eV per atom: -4.759
ΔE_f, eV per atom: 0.008
Size of the total moment, μB/cell: 0.000

abc: 9.791 9.791 9.846
angles: 115.28 115.28 21.87
Element x y z (fractional)
1 La 0.166 0.166 0.498
2 La 0.834 0.834 0.502
3 Pr 0.019 0.019 0.836
4 Pr 0.314 0.314 0.167
5 Pr 0.686 0.686 0.833
6 Pr 0.981 0.981 0.164
7 Sm 0.500 0.500 0.500
8 Dy 0.352 0.352 0.833
9 Dy 0.648 0.648 0.167

***

Material: ScCr2Au
Method: DFT, GGA-PBE
State: optimized geometry

Computed properties:
Symmetry: R-3m, No. 166
Polymorph energy (0 for the lowest one), eV/f.u.: 2.13
DFT total energy, eV per atom: -6.725
ΔE_f, eV per atom: 0.489
Size of the total moment, μB/cell: 6.673

abc: 9.166 9.166 9.166
angles: 19.14 19.14 19.14
Element x y z (fractional)
1 Sc 0.000 0.000 0.000
2 Cr 0.248 0.248 0.248
3 Cr 0.752 0.752 0.752
4 Au 0.500 0.500 0.500

***

Material: Cd2SbSe
Method: DFT, GGA-PBE
State: optimized geometry

Computed properties:
Symmetry: F-43m, No. 216
DFT total energy, eV per atom: -2.209
Energy relative to the elements, uncorrected, kcal/mol of atoms: 3.47
Size of the total moment, μB/cell: 0.000

abc: 5.157 5.157 5.157
angles: 60.00 60.00 60.00
Element x y z (fractional)
1 Cd 0.000 0.000 0.000
2 Cd 0.250 0.250 0.250
3 Sb 0.500 0.500 0.500
4 Se 0.750 0.750 0.750

***

Material: TcSnI2N
Method: DFT, GGA-PBE
State: optimized geometry

Computed properties:
Symmetry: P4/mmm, No. 123
Polymorph energy (0 for the lowest one), eV/f.u.: 0.00
DFT total energy, eV per atom: -4.848
Energy relative to the elements, uncorrected, kcal/mol of atoms: 7.16
Size of the total moment, μB/cell: 0.000

abc: 5.689 5.689 3.797
angles: 90.00 90.00 90.00
Element x y z (fractional)
1 Tc 0.000 0.000 0.000
2 Sn 0.500 0.500 0.500
3 I 0.000 0.500 0.000
4 I 0.500 0.000 0.000
5 N 0.000 0.000 0.500

***

Material: LiNd2Al12Ni3
Method: DFT, GGA-PBE
State: optimized geometry

Computed properties:
Symmetry: R-3m, No. 166
DFT total energy, eV per atom: -4.067
ΔE_f, eV per atom: 0.028
Size of the total moment, μB/cell: 0.000

abc: 7.800 7.800 7.800
angles: 63.84 63.84 63.84
Element x y z (fractional)
1 Li 0.000 0.000 0.000
2 Nd 0.417 0.417 0.417
3 Nd 0.583 0.583 0.583
4 Al 0.124 0.758 0.758
5 Al 0.162 0.162 0.549
6 Al 0.162 0.549 0.162
7 Al 0.242 0.242 0.876
8 Al 0.242 0.876 0.242
9 Al 0.451 0.838 0.838
10 Al 0.549 0.162 0.162
11 Al 0.758 0.124 0.758
12 Al 0.758 0.758 0.124
13 Al 0.838 0.451 0.838
14 Al 0.838 0.838 0.451
15 Al 0.876 0.242 0.242
16 Ni 0.000 0.000 0.500
17 Ni 0.000 0.500 0.000
18 Ni 0.500 0.000 0.000